A plane-wave DFT calculation with PBEsol was carried out for crystalline ZrAlSi2 at its relaxed geometry.

Properties
Final energy in eV/cell: -26.1
Calculated density in g/cm3: 4.572
Volume in A^3/atom: 15.8
Formation energy (no corrections) in eV/atom: -0.36

Structure (CIF):
```
data_ZrAlSi2
_cell_length_a 4.073
_cell_length_b 4.073
_cell_length_c 3.818
_cell_angle_alpha 90.00
_cell_angle_beta 90.00
_cell_angle_gamma 90.00
_symmetry_space_group_name_H-M 'P 4/m m m'
_symmetry_Int_Tables_number 123
_symmetry_space_group_name_Hall '-P 4 2'
loop_
_atom_site_label
_atom_site_type_symbol
_atom_site_fract_x
_atom_site_fract_y
_atom_site_fract_z
Zr1 Zr 0.000 0.000 0.000
Al1 Al 0.500 0.500 0.000
Si1 Si 0.000 0.500 0.500
```

---

A plane-wave DFT calculation with PBEsol was carried out for crystalline KSnO2 at its relaxed geometry.

Properties
Final energy in eV/cell: -86.1
Calculated density in g/cm3: 3.986
Volume in A^3/atom: 19.8
Formation energy (no corrections) in eV/atom: -1.41

Structure (CIF):
```
data_KSnO2
_cell_length_a 5.934
_cell_length_b 5.934
_cell_length_c 8.981
_cell_angle_alpha 90.00
_cell_angle_beta 90.00
_cell_angle_gamma 90.00
_symmetry_space_group_name_H-M 'I -4 2 d'
_symmetry_Int_Tables_number 122
_symmetry_space_group_name_Hall 'I -4 2bw'
loop_
_atom_site_label
_atom_site_type_symbol
_atom_site_fract_x
_atom_site_fract_y
_atom_site_fract_z
K1 K 0.000 0.000 0.000
Sn1 Sn 0.000 0.000 0.500
O1 O 0.158 0.250 0.625
```

---

A plane-wave DFT calculation with PBEsol was carried out for crystalline LiAgF2 at its relaxed geometry.

Properties
Final energy in eV/cell: -66.5
Calculated density in g/cm3: 5.359
Energy above the lowest structure with this stoichiometry in meV per atom: 75
Volume in A^3/atom: 11.8
Formation energy (no corrections) in eV/atom: -1.87

Structure (CIF):
```
data_LiAgF2
_cell_length_a 3.023
_cell_length_b 11.269
_cell_length_c 5.559
_cell_angle_alpha 90.00
_cell_angle_beta 90.00
_cell_angle_gamma 90.00
_symmetry_space_group_name_H-M 'C m c m'
_symmetry_Int_Tables_number 63
_symmetry_space_group_name_Hall '-C 2c 2'
loop_
_atom_site_label
_atom_site_type_symbol
_atom_site_fract_x
_atom_site_fract_y
_atom_site_fract_z
Li1 Li 0.000 0.108 0.250
Ag1 Ag 0.000 0.370 0.250
F1 F 0.000 0.000 0.000
F2 F 0.000 0.299 0.750
```

---

A plane-wave DFT calculation with PBEsol was carried out for crystalline ZrInIr2 at its relaxed geometry.

Properties
Final energy in eV/cell: -34.0
Calculated density in g/cm3: 14.509
Energy of formation in eV/atom: -0.569
Volume in A^3/atom: 16.9

Structure (CIF):
```
data_ZrInIr2
_cell_length_a 3.090
_cell_length_b 3.615
_cell_length_c 6.049
_cell_angle_alpha 90.00
_cell_angle_beta 90.00
_cell_angle_gamma 90.00
_symmetry_space_group_name_H-M 'P m m m'
_symmetry_Int_Tables_number 47
_symmetry_space_group_name_Hall '-P 2 2'
loop_
_atom_site_label
_atom_site_type_symbol
_atom_site_fract_x
_atom_site_fract_y
_atom_site_fract_z
Zr1 Zr 0.000 0.000 0.000
In1 In 0.000 0.000 0.500
Ir1 Ir 0.500 0.500 0.248
```

---

A plane-wave DFT calculation with PBEsol was carried out for crystalline LiCd2Rh at its relaxed geometry.

Properties
Final energy in eV/cell: -38.3
Calculated density in g/cm3: 8.236
Energy of formation in eV/atom: -0.070
Energy above the lowest structure with this stoichiometry in meV per atom: 186
Volume in A^3/atom: 16.9

Structure (CIF):
```
data_LiCd2Rh
_cell_length_a 2.9188
_cell_length_b 2.9188
_cell_length_c 27.4363
_cell_angle_alpha 90.00
_cell_angle_beta 90.00
_cell_angle_gamma 120.00
_symmetry_space_group_name_H-M 'R -3 m'
_symmetry_Int_Tables_number 166
_symmetry_space_group_name_Hall '-R 3 2"'
loop_
_atom_site_label
_atom_site_type_symbol
_atom_site_fract_x
_atom_site_fract_y
_atom_site_fract_z
Li1 Li 0.0000 0.0000 0.0000
Cd1 Cd 0.0000 0.0000 0.2477
Rh1 Rh 0.0000 0.0000 0.5000
```

---

A plane-wave DFT calculation with PBEsol was carried out for crystalline BaZr2Rh at its relaxed geometry.

Properties
Final energy in eV/cell: -28.8
Calculated density in g/cm3: 7.184
Energy of formation in eV/atom: -0.083
Energy above the lowest structure with this stoichiometry in meV per atom: 0
Volume in A^3/atom: 24.4

Structure (CIF):
```
data_BaZr2Rh
_cell_length_a 3.336
_cell_length_b 3.336
_cell_length_c 8.779
_cell_angle_alpha 90.00
_cell_angle_beta 90.00
_cell_angle_gamma 90.00
_symmetry_space_group_name_H-M 'P 4 m m'
_symmetry_Int_Tables_number 99
_symmetry_space_group_name_Hall 'P 4 -2'
loop_
_atom_site_label
_atom_site_type_symbol
_atom_site_fract_x
_atom_site_fract_y
_atom_site_fract_z
Ba1 Ba 0.000 0.000 0.000
Zr1 Zr 0.000 0.000 0.420
Zr2 Zr 0.500 0.500 0.648
Rh1 Rh 0.500 0.500 0.273
```

---

A plane-wave DFT calculation with PBEsol was carried out for crystalline LiRu2Cl at its relaxed geometry.

Properties
Final energy in eV/cell: -65.9
Calculated density in g/cm3: 7.342
Energy above the lowest structure with this stoichiometry in meV per atom: 623
Volume in A^3/atom: 13.8
Formation energy (no corrections) in eV/atom: 0.59

Structure (CIF):
```
data_LiRu2Cl
_cell_length_a 2.7749
_cell_length_b 2.7749
_cell_length_c 24.8835
_cell_angle_alpha 90.00
_cell_angle_beta 90.00
_cell_angle_gamma 120.00
_symmetry_space_group_name_H-M 'R -3 m'
_symmetry_Int_Tables_number 166
_symmetry_space_group_name_Hall '-R 3 2"'
loop_
_atom_site_label
_atom_site_type_symbol
_atom_site_fract_x
_atom_site_fract_y
_atom_site_fract_z
Li1 Li 0.0000 0.0000 0.0000
Ru1 Ru 0.0000 0.0000 0.2438
Cl1 Cl 0.0000 0.0000 0.5000
```

---

A plane-wave DFT calculation with PBEsol was carried out for crystalline Rb3AlCr at its relaxed geometry.

Properties
Final energy in eV/cell: -11.9
Calculated density in g/cm3: 1.805
Energy of formation in eV/atom: 1.093
Volume in A^3/atom: 61.7

Structure (CIF):
```
data_Rb3AlCr
_cell_length_a 6.757
_cell_length_b 6.757
_cell_length_c 6.757
_cell_angle_alpha 90.00
_cell_angle_beta 90.00
_cell_angle_gamma 90.00
_symmetry_space_group_name_H-M 'P m -3 m'
_symmetry_Int_Tables_number 221
_symmetry_space_group_name_Hall '-P 4 2 3'
loop_
_atom_site_label
_atom_site_type_symbol
_atom_site_fract_x
_atom_site_fract_y
_atom_site_fract_z
Rb1 Rb 0.000 0.000 0.500
Al1 Al 0.000 0.000 0.000
Cr1 Cr 0.500 0.500 0.500
```

---

A plane-wave DFT calculation with PBEsol was carried out for crystalline Mn2Si at its relaxed geometry.

Properties
Final energy in eV/cell: -25.9
Calculated density in g/cm3: 7.176
Volume in A^3/atom: 10.6
Formation energy (no corrections) in eV/atom: -0.22

Structure (CIF):
```
data_Mn2Si
_cell_length_a 3.8133
_cell_length_b 3.8133
_cell_length_c 2.5350
_cell_angle_alpha 90.00
_cell_angle_beta 90.00
_cell_angle_gamma 120.00
_symmetry_space_group_name_H-M 'P -3 m 1'
_symmetry_Int_Tables_number 164
_symmetry_space_group_name_Hall '-P 3 2"'
loop_
_atom_site_label
_atom_site_type_symbol
_atom_site_fract_x
_atom_site_fract_y
_atom_site_fract_z
Mn1 Mn 0.3333 0.6667 0.1860
Si1 Si 0.0000 0.0000 0.5000
```

---

A plane-wave DFT calculation with PBEsol was carried out for crystalline ZnRuW at its relaxed geometry.

Properties
Final energy in eV/cell: -99.4
Calculated density in g/cm3: 13.427
Energy of formation in eV/atom: 0.236
Energy above the lowest structure with this stoichiometry in meV per atom: 138
Volume in A^3/atom: 14.4

Structure (CIF):
```
data_ZnRuW
_cell_length_a 2.945
_cell_length_b 4.458
_cell_length_c 13.201
_cell_angle_alpha 90.00
_cell_angle_beta 90.00
_cell_angle_gamma 90.00
_symmetry_space_group_name_H-M 'F m m 2'
_symmetry_Int_Tables_number 42
_symmetry_space_group_name_Hall 'F 2 -2'
loop_
_atom_site_label
_atom_site_type_symbol
_atom_site_fract_x
_atom_site_fract_y
_atom_site_fract_z
Zn1 Zn 0.000 0.000 0.000
Ru1 Ru 0.000 0.000 0.665
W1 W 0.000 0.000 0.327
```

---

A plane-wave DFT calculation with PBEsol was carried out for crystalline Cu5Sn4 at its relaxed geometry.

Properties
Final energy in eV/cell: -156.2
Calculated density in g/cm3: 8.539
Energy of formation in eV/atom: -0.039
Energy above the lowest structure with this stoichiometry in meV per atom: 0
Volume in A^3/atom: 17.1

Structure (CIF):
```
data_Cu5Sn4
_cell_length_a 9.768
_cell_length_b 7.315
_cell_length_c 9.742
_cell_angle_alpha 90.00
_cell_angle_beta 117.68
_cell_angle_gamma 90.00
_symmetry_space_group_name_H-M 'P 1 21/c 1'
_symmetry_Int_Tables_number 14
_symmetry_space_group_name_Hall '-P 2ybc'
loop_
_atom_site_label
_atom_site_type_symbol
_atom_site_fract_x
_atom_site_fract_y
_atom_site_fract_z
Cu1 Cu 0.058 0.223 0.443
Cu2 Cu 0.190 0.744 0.313
Cu3 Cu 0.191 0.591 0.062
Cu4 Cu 0.316 0.223 0.684
Cu5 Cu 0.430 0.743 0.568
Sn1 Sn 0.071 0.096 0.716
Sn2 Sn 0.184 0.551 0.565
Sn3 Sn 0.324 0.084 0.423
Sn4 Sn 0.457 0.593 0.331
```

---

A plane-wave DFT calculation with PBEsol was carried out for crystalline SiNiTe2 at its relaxed geometry.

Properties
Final energy in eV/cell: -17.4
Calculated density in g/cm3: 7.420
Volume in A^3/atom: 19.1
Formation energy (no corrections) in eV/atom: 0.39

Structure (CIF):
```
data_SiNiTe2
_cell_length_a 3.315
_cell_length_b 3.315
_cell_length_c 6.963
_cell_angle_alpha 90.00
_cell_angle_beta 90.00
_cell_angle_gamma 90.00
_symmetry_space_group_name_H-M 'P 4/m m m'
_symmetry_Int_Tables_number 123
_symmetry_space_group_name_Hall '-P 4 2'
loop_
_atom_site_label
_atom_site_type_symbol
_atom_site_fract_x
_atom_site_fract_y
_atom_site_fract_z
Si1 Si 0.000 0.000 0.000
Ni1 Ni 0.000 0.000 0.500
Te1 Te 0.500 0.500 0.274
```

---

A plane-wave DFT calculation with PBEsol was carried out for crystalline MnSiH3 at its relaxed geometry.

Properties
Final energy in eV/cell: -21.8
Calculated density in g/cm3: 3.406
Volume in A^3/atom: 8.4

Structure (CIF):
```
data_MnSiH3
_cell_length_a 3.475
_cell_length_b 3.475
_cell_length_c 3.475
_cell_angle_alpha 90.00
_cell_angle_beta 90.00
_cell_angle_gamma 90.00
_symmetry_space_group_name_H-M 'P m -3 m'
_symmetry_Int_Tables_number 221
_symmetry_space_group_name_Hall '-P 4 2 3'
loop_
_atom_site_label
_atom_site_type_symbol
_atom_site_fract_x
_atom_site_fract_y
_atom_site_fract_z
Mn1 Mn 0.000 0.000 0.000
Si1 Si 0.500 0.500 0.500
H1 H 0.000 0.500 0.500
```

---

A plane-wave DFT calculation with PBEsol was carried out for crystalline CaCoCl2 at its relaxed geometry.

Properties
Final energy in eV/cell: -65.0
Calculated density in g/cm3: 4.124
Energy above the lowest structure with this stoichiometry in meV per atom: 363
Volume in A^3/atom: 17.1
Formation energy (no corrections) in eV/atom: -0.59

Structure (CIF):
```
data_CaCoCl2
_cell_length_a 6.492
_cell_length_b 6.492
_cell_length_c 6.492
_cell_angle_alpha 90.00
_cell_angle_beta 90.00
_cell_angle_gamma 90.00
_symmetry_space_group_name_H-M 'F m -3 m'
_symmetry_Int_Tables_number 225
_symmetry_space_group_name_Hall '-F 4 2 3'
loop_
_atom_site_label
_atom_site_type_symbol
_atom_site_fract_x
_atom_site_fract_y
_atom_site_fract_z
Ca1 Ca 0.000 0.000 0.000
Co1 Co 0.000 0.000 0.500
Cl1 Cl 0.250 0.250 0.250
```

---

A plane-wave DFT calculation with PBEsol was carried out for crystalline Ti3CuW at its relaxed geometry.

Properties
Final energy in eV/cell: -38.0
Calculated density in g/cm3: 7.436
Energy of formation in eV/atom: 1.030
Volume in A^3/atom: 17.5

Structure (CIF):
```
data_Ti3CuW
_cell_length_a 4.436
_cell_length_b 4.436
_cell_length_c 4.436
_cell_angle_alpha 90.00
_cell_angle_beta 90.00
_cell_angle_gamma 90.00
_symmetry_space_group_name_H-M 'P m -3 m'
_symmetry_Int_Tables_number 221
_symmetry_space_group_name_Hall '-P 4 2 3'
loop_
_atom_site_label
_atom_site_type_symbol
_atom_site_fract_x
_atom_site_fract_y
_atom_site_fract_z
Ti1 Ti 0.000 0.000 0.500
Cu1 Cu 0.000 0.000 0.000
W1 W 0.500 0.500 0.500
```

---

A plane-wave DFT calculation with PBEsol was carried out for crystalline SiB3Pd at its relaxed geometry.

Properties
Final energy in eV/cell: -25.1
Calculated density in g/cm3: 4.176
Energy above the lowest structure with this stoichiometry in meV per atom: 4
Volume in A^3/atom: 13.3
Formation energy (no corrections) in eV/atom: 1.53

Structure (CIF):
```
data_SiB3Pd
_cell_length_a 4.049
_cell_length_b 4.049
_cell_length_c 4.049
_cell_angle_alpha 90.00
_cell_angle_beta 90.00
_cell_angle_gamma 90.00
_symmetry_space_group_name_H-M 'P m -3 m'
_symmetry_Int_Tables_number 221
_symmetry_space_group_name_Hall '-P 4 2 3'
loop_
_atom_site_label
_atom_site_type_symbol
_atom_site_fract_x
_atom_site_fract_y
_atom_site_fract_z
Si1 Si 0.000 0.000 0.000
B1 B 0.000 0.500 0.500
Pd1 Pd 0.500 0.500 0.500
```

---

A plane-wave DFT calculation with PBEsol was carried out for crystalline La3Ge3Br2 at its relaxed geometry.

Properties
Final energy in eV/cell: -179.1
Calculated density in g/cm3: 6.239
Volume in A^3/atom: 26.4
Formation energy (no corrections) in eV/atom: -1.27

Structure (CIF):
```
data_La3Ge3Br2
_cell_length_a 18.432
_cell_length_b 4.288
_cell_length_c 10.805
_cell_angle_alpha 90.00
_cell_angle_beta 97.95
_cell_angle_gamma 90.00
_symmetry_space_group_name_H-M 'C 1 2/m 1'
_symmetry_Int_Tables_number 12
_symmetry_space_group_name_Hall '-C 2y'
loop_
_atom_site_label
_atom_site_type_symbol
_atom_site_fract_x
_atom_site_fract_y
_atom_site_fract_z
La1 La 0.031 0.000 0.330
La2 La 0.113 0.000 0.988
La3 La 0.178 0.000 0.646
Ge1 Ge 0.024 0.500 0.116
Ge2 Ge 0.068 0.500 0.543
Ge3 Ge 0.093 0.500 0.780
Br1 Br 0.200 0.000 0.369
Br2 Br 0.225 0.500 0.108
```

---

A plane-wave DFT calculation with PBEsol was carried out for crystalline K4CrIr at its relaxed geometry.

Properties
Final energy in eV/cell: -65.4
Calculated density in g/cm3: 3.781
Energy of formation in eV/atom: 1.376
Volume in A^3/atom: 29.3

Structure (CIF):
```
data_K4CrIr
_cell_length_a 8.895
_cell_length_b 8.895
_cell_length_c 8.895
_cell_angle_alpha 90.00
_cell_angle_beta 90.00
_cell_angle_gamma 90.00
_symmetry_space_group_name_H-M 'F -4 3 m'
_symmetry_Int_Tables_number 216
_symmetry_space_group_name_Hall 'F -4 2 3'
loop_
_atom_site_label
_atom_site_type_symbol
_atom_site_fract_x
_atom_site_fract_y
_atom_site_fract_z
K1 K 0.124 0.124 0.124
Cr1 Cr 0.000 0.000 0.500
Ir1 Ir 0.250 0.250 0.750
```

---

A plane-wave DFT calculation with PBEsol was carried out for crystalline Sr3In3Ga2 at its relaxed geometry.

Properties
Final energy in eV/cell: -100.4
Calculated density in g/cm3: 5.580
Energy of formation in eV/atom: -0.493
Volume in A^3/atom: 27.8

Structure (CIF):
```
data_Sr3In3Ga2
_cell_length_a 4.770
_cell_length_b 11.516
_cell_length_c 16.184
_cell_angle_alpha 90.00
_cell_angle_beta 90.00
_cell_angle_gamma 90.00
_symmetry_space_group_name_H-M 'C m c m'
_symmetry_Int_Tables_number 63
_symmetry_space_group_name_Hall '-C 2c 2'
loop_
_atom_site_label
_atom_site_type_symbol
_atom_site_fract_x
_atom_site_fract_y
_atom_site_fract_z
Sr1 Sr 0.000 0.086 0.109
Sr2 Sr 0.000 0.367 0.250
In1 In 0.000 0.339 0.750
In2 In 0.000 0.375 0.034
Ga1 Ga 0.000 0.210 0.602
```

---

A plane-wave DFT calculation with PBEsol was carried out for crystalline SbIrCl2O at its relaxed geometry.

Properties
Final energy in eV/cell: -20.0
Calculated density in g/cm3: 6.119
Volume in A^3/atom: 21.8
Formation energy (no corrections) in eV/atom: 0.73

Structure (CIF):
```
data_SbIrCl2O
_cell_length_a 5.272
_cell_length_b 5.272
_cell_length_c 3.914
_cell_angle_alpha 90.00
_cell_angle_beta 90.00
_cell_angle_gamma 90.00
_symmetry_space_group_name_H-M 'P 4/m m m'
_symmetry_Int_Tables_number 123
_symmetry_space_group_name_Hall '-P 4 2'
loop_
_atom_site_label
_atom_site_type_symbol
_atom_site_fract_x
_atom_site_fract_y
_atom_site_fract_z
Sb1 Sb 0.000 0.000 0.000
Ir1 Ir 0.500 0.500 0.500
Cl1 Cl 0.000 0.500 0.000
O1 O 0.000 0.000 0.500
```